The following is a GGA+U calculation of a relaxed structure of Ho2AlCoO6, from the Alexandria database.

Summary:
N(E_F)	0.000	states/eV/atom
SG	P2_1/c (14)
final energy	-151.5	eV for the cell shown
density	8.18	Mg/m³

abc: 5.1832 5.4116 7.4089
angles: 90.00 89.59 90.00
Last column: nearest neighbours and their distance in Å.
Fractional positions:
Ho1 0.0163 0.9356 0.2503  6 O 2.24-2.45
Ho2 0.5163 0.5644 0.7503  6 O 2.24-2.45
Ho3 0.9837 0.0644 0.7497  6 O 2.24-2.45
Ho4 0.4837 0.4356 0.2497  6 O 2.24-2.45
Al1 0.5000 0.0000 0.5000  6 O 1.90-1.93
Al2 0.0000 0.5000 0.0000  6 O 1.90-1.93
Co1 0.5000 0.0000 0.0000  6 O 1.94-1.96
Co2 0.0000 0.5000 0.5000  6 O 1.94-1.96
O1 0.2989 0.6996 0.0485  1 Al 1.92, 1 Co 1.96
O2 0.7989 0.8004 0.5485  1 Al 1.92, 1 Co 1.96
O3 0.7011 0.3004 0.9515  1 Al 1.92, 1 Co 1.96
O4 0.2011 0.1996 0.4515  1 Al 1.92, 1 Co 1.96
O5 0.3029 0.7045 0.4504  1 Al 1.93, 1 Co 1.95
O6 0.8029 0.7955 0.9504  1 Al 1.93, 1 Co 1.95
O7 0.6971 0.2955 0.5496  1 Al 1.93, 1 Co 1.95
O8 0.1971 0.2045 0.0496  1 Al 1.93, 1 Co 1.95
O9 0.9049 0.5265 0.2476  1 Al 1.90, 1 Co 1.94
O10 0.4049 0.9735 0.7476  1 Al 1.90, 1 Co 1.94
O11 0.0951 0.4735 0.7524  1 Al 1.90, 1 Co 1.94
O12 0.5951 0.0265 0.2524  1 Al 1.90, 1 Co 1.94